## Ba2CoPF (GGA+U)

Data for a geometry-optimized Ba2CoPF structure.

Lattice parameters (Å, degrees): 6.2799 6.2799 4.3501 90.00 90.00 90.00
Space group P4/mmm (No. 123)
One atom of each set of equivalent atoms:
Ba  0.0000  0.5000  0.0000 x2
Co  0.0000  0.0000  0.5000 x1
P  0.5000  0.5000  0.0000 x1
F  0.5000  0.5000  0.5000 x1

Properties
Uncorrected energy (eV per atom): -3.59